1.
Below is a geometry-optimized Si2Hg structure, with properties calculated at the PBE level.

Lattice parameters (Å, degrees): 6.2510 6.2510 6.2510 90.00 90.00 90.00
Last column: nearest neighbours and their distance in Å.
Sites, in units of the cell vectors:
Hg 0.5000 0.5000 0.0000  6 Si 2.63
Hg 0.5000 0.0000 0.5000  6 Si 2.63
Hg 0.0000 0.0000 0.0000  6 Si 2.63
Hg 0.0000 0.5000 0.5000  6 Si 2.63
Si 0.8910 0.1090 0.3910  1 Si 2.36, 3 Hg 2.63
Si 0.1090 0.6090 0.1090  1 Si 2.36, 3 Hg 2.63
Si 0.3910 0.3910 0.6090  1 Si 2.36, 3 Hg 2.63
Si 0.6090 0.6090 0.3910  1 Si 2.36, 3 Hg 2.63
Si 0.1090 0.8910 0.6090  1 Si 2.36, 3 Hg 2.63
Si 0.6090 0.8910 0.8910  1 Si 2.36, 3 Hg 2.63
Si 0.8910 0.3910 0.8910  1 Si 2.36, 3 Hg 2.63
Si 0.3910 0.1090 0.1090  1 Si 2.36, 3 Hg 2.63

Output
For the distance to the lowest polymorph of the same formula, the calculation gives 0.82 eV per formula unit. Its space-group type is No. 205. For the size of the total moment, the calculation gives 0.00 μB/cell. For the uncorrected formation energy, the calculation gives 584.5 meV per atom.

---

2.
Below is a geometry-optimized SiHg2 structure, with properties calculated at the PBE level.

Lattice parameters (Å, degrees): 3.8652 3.8652 5.2360 90.00 90.00 90.00
Last column: nearest neighbours and their distance in Å.
Sites, in units of the cell vectors:
Hg 0.0000 0.0000 0.5000  2 Si 2.62
Hg 0.5000 0.5000 0.0000  4 Si 2.73
Si 0.0000 0.0000 0.0000  6 Hg 2.62-2.73

Output
For the distance to the lowest polymorph of the same formula, the calculation gives 0.48 eV per formula unit. Its space-group type is No. 123. For the size of the total moment, the calculation gives 0.00 μB/cell. For the uncorrected formation energy, the calculation gives 335.7 meV per atom.